Entry 1:
A plane-wave DFT calculation with PBE-GGA was carried out for a geometry-optimized Pr2Sm4In structure.

abc: 3.6868 3.6868 60.1610
angles: 90.00 90.00 120.00
Last column: nearest neighbours and their distance in Å.
Space group R-3m (No. 166, hexagonal axes)
Unique sites:
Pr (0.0000, 0.0000, 0.1924) x6  3 Sm 3.68, 9 Pr 3.69-3.76
Sm (0.0000, 0.0000, 0.0911) x6  9 Sm 3.64-3.69, 3 Pr 3.68
Sm (0.0000, 0.0000, 0.2913) x6  3 In 3.30, 9 Sm 3.64-3.69
In (0.0000, 0.0000, 0.0000) x3  6 Sm 3.30, 6 In 3.69

Computed properties:
Energy relative to the lowest polymorph listed for this composition   0.000 eV per atom



Entry 2:
A plane-wave DFT calculation with PBE-GGA was carried out for a geometry-optimized Pr3Sm3In2 structure.

abc: 4.9546 4.9816 10.0079
angles: 90.00 90.00 90.00
Last column: nearest neighbours and their distance in Å.
Space group Pmmm (No. 47)
Unique sites:
Pr (0.0000, 0.0000, 0.0000) x1  4 Pr 3.51, 4 Sm 3.53, 4 In 3.55
Pr (0.0000, 0.0000, 0.5000) x1  8 Sm 3.51, 4 In 3.51
Pr (0.5000, 0.5000, 0.0000) x1  4 Pr 3.51, 4 Sm 3.54, 4 In 3.54
Sm (0.5000, 0.0000, 0.2510) x2  4 In 3.51, 6 Pr 3.51-3.54, 2 Sm 3.52
Sm (0.5000, 0.5000, 0.5000) x1  4 In 3.50, 4 Pr 3.51, 4 Sm 3.52
In (0.0000, 0.5000, 0.2524) x2  6 Sm 3.50-3.51, 6 Pr 3.51-3.55

Computed properties:
Energy relative to the lowest polymorph listed for this composition   0.000 eV per atom



Entry 3:
A plane-wave DFT calculation with PBE-GGA was carried out for a geometry-optimized PrSm3In4 structure.

abc: 3.8504 3.8504 15.3953
angles: 90.00 90.00 90.00
Last column: nearest neighbours and their distance in Å.
Space group P4/mmm (No. 123)
Unique sites:
Pr (0.0000, 0.0000, 0.0000) x1  8 In 3.38
Sm (0.0000, 0.0000, 0.2532) x2  8 In 3.31-3.32
Sm (0.0000, 0.0000, 0.5000) x1  8 In 3.32
In (0.5000, 0.5000, 0.1305) x2  4 Sm 3.31, 4 Pr 3.38
In (0.5000, 0.5000, 0.3766) x2  8 Sm 3.32

Computed properties:
Energy relative to the lowest polymorph listed for this composition   0.000 eV per atom



Entry 4:
A plane-wave DFT calculation with PBE-GGA was carried out for a geometry-optimized Pr7SmIn2 structure.

abc: 9.4285 16.0522 5.5260
angles: 90.00 90.00 90.00
Last column: nearest neighbours and their distance in Å.
Space group Cmmm (No. 65)
Unique sites:
Pr (0.0000, 0.0000, 0.0000) x2  2 In 3.14
Pr (0.0000, 0.2754, 0.5000) x4  2 In 3.05
Pr (0.1817, 0.3787, 0.0000) x8  2 In 3.23-3.40, 2 Pr 3.43-3.58
Sm (0.0000, 0.5000, 0.5000) x2  10 Pr 3.60-3.79
In (0.0000, 0.1956, 0.0000) x4  7 Pr 3.05-3.40



Let's list formation energy from the elements in order: -0.061, -0.271, -0.493, 0.301 eV per atom.
Let's list ρ in order: 7.02, 7.42, 7.65, 5.43 g/cm3.